# 1
Here is a relaxed LaPm6Ho2Tm crystal from the Alexandria database. Energies are from PBE-GGA.

Summary:
D(E_F) ... 14.3 states/eV/f.u.
E_form ... 116 meV per atom
SG ... C2/c
Calculated volume ... 34.0 Å³ per atom
Size of the total moment ... 0.00 μB/atom

Lattice parameters (Å, degrees): 9.644 8.917 8.917 116.91 93.32 93.32
Sites, in units of the cell vectors:
1 Pm 0.883 0.294 0.514
2 Pm 0.617 0.486 0.706
3 Pm 0.944 0.882 0.243
4 Pm 0.684 0.008 0.559
5 Pm 0.184 0.559 0.008
6 Pm 0.316 0.992 0.441
7 Pm 0.444 0.243 0.882
8 Pm 0.383 0.514 0.294
9 Pm 0.816 0.441 0.992
10 Pm 0.556 0.757 0.118
11 Pm 0.117 0.706 0.486
12 Pm 0.056 0.118 0.757
13 Ho 0.050 0.303 0.203
14 Ho 0.950 0.697 0.797
15 Ho 0.450 0.797 0.697
16 Ho 0.550 0.203 0.303
17 La 0.750 0.030 0.970
18 La 0.250 0.970 0.030
19 Tm 0.750 0.589 0.411
20 Tm 0.250 0.411 0.589


# 2
Here is a relaxed Sr2TiGe2 crystal from the Alexandria database. Energies are from PBE-GGA.

Summary:
D(E_F) ... 3.0 states/eV/f.u.
E_form ... -298 meV per atom
SG ... P4/mbm
Calculated volume ... 26.1 Å³ per atom
Size of the total moment ... 0.02 μB/atom

Lattice parameters (Å, degrees): 7.267 7.267 4.942 90.00 90.00 90.00
Site moments in Bohr magnetons follow the coordinates.
Sites, in units of the cell vectors:
1 Ge 0.368 0.868 0.000  -0.01
2 Ge 0.132 0.368 0.000  -0.01
3 Ge 0.868 0.632 0.000  -0.01
4 Ge 0.632 0.132 0.000  -0.01
5 Ti 0.500 0.500 0.000  0.11
6 Ti 0.000 0.000 0.000  0.11
7 Sr 0.673 0.827 0.500  0.00
8 Sr 0.827 0.327 0.500  0.00
9 Sr 0.327 0.173 0.500  0.00
10 Sr 0.173 0.673 0.500  0.00


# 3
Here is a relaxed BiRuPb2 crystal from the Alexandria database. Energies are from PBE-GGA.

Summary:
D(E_F) ... 3.4 states/eV/f.u.
E_form ... 688 meV per atom
SG ... I-42d
Calculated volume ... 35.6 Å³ per atom
Size of the total moment ... 0.00 μB/atom

Lattice parameters (Å, degrees): 6.538 6.538 8.113 66.24 66.24 90.00
Sites, in units of the cell vectors:
1 Bi 0.000 0.000 0.000
2 Bi 0.750 0.250 0.500
3 Pb 0.375 0.438 0.750
4 Pb 0.562 0.125 0.250
5 Pb 0.188 0.625 0.250
6 Pb 0.875 0.812 0.750
7 Ru 0.250 0.750 0.500
8 Ru 0.500 0.500 0.000


# 4
Here is a relaxed AlB3Pt crystal from the Alexandria database. Energies are from PBE-GGA.

Summary:
D(E_F) ... 1.9 states/eV/f.u.
E_form ... 1864 meV per atom
E above lowest polymorph ... 686.2 meV/atom
SG ... Pm-3m
Calculated volume ... 13.5 Å³ per atom
Size of the total moment ... 0.00 μB/atom

Lattice parameters (Å, degrees): 4.068 4.068 4.068 90.00 90.00 90.00
Sites, in units of the cell vectors:
1 B 0.000 0.000 0.500
2 B 0.500 0.000 0.000
3 B 0.000 0.500 0.000
4 Al 0.000 0.000 0.000
5 Pt 0.500 0.500 0.500


# 5
Here is a relaxed Sm3PaIn3Te8 crystal from the Alexandria database. Energies are from PBE-GGA.

Summary:
D(E_F) ... 7.3 states/eV/f.u.
SG ... R-3m
Calculated volume ... 37.2 Å³ per atom
Size of the total moment ... 0.07 μB/atom
Formation energy without anion corrections ... -14.17 eV per formula unit

Lattice parameters (Å, degrees): 8.876 8.876 9.658 117.38 90.00 120.00
Site moments in Bohr magnetons follow the coordinates.
Sites, in units of the cell vectors:
1 Sm 0.500 0.500 0.500  0.03
2 Sm 0.000 0.500 0.500  0.03
3 Sm 0.500 0.000 0.500  0.03
4 Te 0.237 0.984 0.721  -0.01
5 Te 0.258 0.517 0.276  0.00
6 Te 0.747 0.984 0.721  -0.01
7 Te 0.237 0.474 0.721  -0.01
8 Te 0.742 0.483 0.724  0.00
9 Te 0.253 0.016 0.279  -0.01
10 Te 0.763 0.526 0.279  -0.01
11 Te 0.763 0.016 0.279  -0.01
12 In 0.500 0.500 0.000  0.00
13 In 0.000 0.000 0.000  0.00
14 In 0.000 0.500 0.000  0.00
15 Pa 0.000 0.000 0.500  0.91


Copy entry 3 word for word.
Here is a relaxed BiRuPb2 crystal from the Alexandria database. Energies are from PBE-GGA.

Summary:
D(E_F) ... 3.4 states/eV/f.u.
E_form ... 688 meV per atom
SG ... I-42d
Calculated volume ... 35.6 Å³ per atom
Size of the total moment ... 0.00 μB/atom

Lattice parameters (Å, degrees): 6.538 6.538 8.113 66.24 66.24 90.00
Sites, in units of the cell vectors:
1 Bi 0.000 0.000 0.000
2 Bi 0.750 0.250 0.500
3 Pb 0.375 0.438 0.750
4 Pb 0.562 0.125 0.250
5 Pb 0.188 0.625 0.250
6 Pb 0.875 0.812 0.750
7 Ru 0.250 0.750 0.500
8 Ru 0.500 0.500 0.000


Q: What is the D(E_F) in the fourth record?
A: 1.9 states/eV/f.u.